No. 1
The following is a PBE calculation of CrAgPt after structural relaxation, from the Alexandria database.

## Properties
- DFT formation energy: 0.6 eV per formula unit
- Excess energy over the best structure of this formula in the dataset: 106 meV/atom
- Final energy: -5.9585 eV per atom

Cell lengths 2.7693, 2.7693, 6.8770 Å; angles 90.00, 90.00, 120.00 degrees
Positions (direct):
Ag  0.0000  0.0000  0.0087
Cr  0.6667  0.3333  0.3475
Pt  0.3333  0.6667  0.6438

=====

No. 2
The following is a PBE calculation of Cr2AgPt9 after structural relaxation, from the Alexandria database.

## Properties
- DFT formation energy: -2.1 eV per formula unit
- Final energy: -6.5454 eV per atom

Cell lengths 3.9434, 3.9434, 11.8323 Å; angles 90.00, 90.00, 90.00 degrees
Positions (direct):
Cr  0.0000  0.0000  0.3340
Cr  0.0000  0.0000  0.6660
Ag  0.0000  0.0000  0.0000
Pt  0.5000  0.5000  0.0000
Pt  0.5000  0.5000  0.3371
Pt  0.5000  0.5000  0.6629
Pt  0.5000  0.0000  0.1754
Pt  0.5000  0.0000  0.5000
Pt  0.5000  0.0000  0.8246
Pt  0.0000  0.5000  0.1754
Pt  0.0000  0.5000  0.5000
Pt  0.0000  0.5000  0.8246